1.
Density functional theory data (PBE) for a relaxed structure of Li4CuAu.

abc: 4.4525 4.4532 5.1516
angles: 90.01 89.99 120.00
Positions (direct):
1 Li 0.3371 0.1661 0.7449
2 Li 0.6706 0.8328 0.2509
3 Li 0.3373 0.1661 0.2496
4 Li 0.6704 0.8328 0.7462
5 Cu 0.0049 0.4993 0.9987
6 Au 0.0037 0.4995 0.4985

Values from the calculation:
ΔE to the lowest computed polymorph, meV/atom: 0.0
Size of the total moment, μB/cell: 0.00
Space group: No. 8
Calculated formation energy, eV/atom: -0.247


2.
Density functional theory data (PBE) for a relaxed structure of Rb2Cd3Hg9.

abc: 9.2410 9.2410 12.4770
angles: 89.41 111.35 121.48
Positions (direct):
1 Cd 0.1351 0.8142 0.4960
2 Cd 0.5000 0.0000 0.0000
3 Cd 0.8649 0.1858 0.5040
4 Cd 0.1818 0.3609 0.9960
5 Cd 0.5000 0.5000 0.5000
6 Cd 0.8182 0.6391 0.0040
7 Hg 0.4557 0.9259 0.7432
8 Hg 0.1277 0.1379 0.4273
9 Hg 0.8784 0.1284 0.7500
10 Hg 0.1262 0.9838 0.9467
11 Hg 0.4629 0.8206 0.4467
12 Hg 0.7893 0.2996 0.9273
13 Hg 0.8738 0.0162 0.0533
14 Hg 0.2375 0.5409 0.5828
15 Hg 0.2107 0.7004 0.0727
16 Hg 0.8723 0.8621 0.5727
17 Hg 0.5371 0.1794 0.5533
18 Hg 0.7625 0.4591 0.4172
19 Hg 0.5419 0.3453 0.0828
20 Hg 0.4581 0.6547 0.9172
21 Hg 0.1216 0.8716 0.2500
22 Hg 0.6827 0.7124 0.7568
23 Hg 0.3173 0.2876 0.2432
24 Hg 0.5443 0.0741 0.2568
25 Rb 0.9961 0.5853 0.7468
26 Rb 0.0039 0.4147 0.2532
27 Rb 0.3385 0.2493 0.7532
28 Rb 0.6615 0.7507 0.2468

Values from the calculation:
Size of the total moment, μB/cell: 0.00
Space group: No. 15
Calculated formation energy, eV/atom: -0.125


3.
Density functional theory data (PBE) for a relaxed structure of Pm2DyTe4.

abc: 4.2779 7.6356 15.2119
angles: 90.00 90.00 106.27
Positions (direct):
1 Te 0.7817 0.5634 0.3749
2 Te 0.5000 0.0000 0.5000
3 Te 0.2183 0.4366 0.8749
4 Te 0.2183 0.4366 0.6251
5 Te 0.0255 0.0509 0.2500
6 Te 0.5000 0.0000 0.0000
7 Te 0.7817 0.5634 0.1251
8 Te 0.9745 0.9491 0.7500
9 Pm 0.8683 0.7366 0.5704
10 Pm 0.1317 0.2634 0.0704
11 Pm 0.1317 0.2634 0.4296
12 Pm 0.8683 0.7366 0.9296
13 Dy 0.3720 0.7441 0.2500
14 Dy 0.6280 0.2559 0.7500

Values from the calculation:
ΔE to the lowest computed polymorph, meV/atom: 70.4
ΔE_f (raw), kJ/mol of formula units: -924
Size of the total moment, μB/cell: 0.00
Space group: No. 63


4.
Density functional theory data (PBE) for a relaxed structure of K3TaO4.

abc: 6.3207 7.0127 8.1162
angles: 90.00 90.00 90.00
Positions (direct):
1 O 0.7029 0.1812 0.0000
2 O 0.2029 0.8188 0.5000
3 O 0.5925 0.6956 0.6911
4 O 0.0925 0.3044 0.1911
5 O 0.0925 0.3044 0.8089
6 O 0.0914 0.9233 0.0000
7 O 0.5925 0.6956 0.3089
8 O 0.5914 0.0767 0.5000
9 K 0.5137 0.8476 0.0000
10 K 0.0119 0.6763 0.7563
11 K 0.0137 0.1524 0.5000
12 K 0.0119 0.6763 0.2437
13 K 0.5119 0.3237 0.2563
14 K 0.5119 0.3237 0.7437
15 Ta 0.9985 0.1780 0.0000
16 Ta 0.4985 0.8220 0.5000

Values from the calculation:
ΔE_f (raw), kJ/mol of formula units: -1755
Size of the total moment, μB/cell: 0.36
Space group: No. 31


5.
Density functional theory data (PBE) for a relaxed structure of NaMnSi2H.

abc: 4.0146 4.0969 4.0146
angles: 90.00 90.00 90.00
Positions (direct):
1 H 0.0000 0.0000 0.0000
2 Si 0.0000 0.0000 0.5000
3 Si 0.5000 0.0000 0.0000
4 Na 0.0000 0.5000 0.0000
5 Mn 0.5000 0.5000 0.5000

Values from the calculation:
Calculated total energy, eV/atom: -4.502
Size of the total moment, μB/cell: 3.73
Space group: No. 123


6.
Density functional theory data (PBE) for a relaxed structure of In3GaCl6.

abc: 7.6246 9.9801 9.9801
angles: 107.01 90.00 90.00
Positions (direct):
1 Cl 0.5851 0.9374 0.0626
2 Cl 0.7176 0.3342 0.3462
3 Cl 0.2176 0.6657 0.6538
4 Cl 0.7423 0.2192 0.7808
5 Cl 0.7176 0.6538 0.6657
6 Cl 0.0851 0.0626 0.9374
7 Cl 0.2423 0.7808 0.2192
8 Cl 0.6484 0.8990 0.4046
9 Cl 0.2176 0.3462 0.3342
10 Cl 0.1484 0.4046 0.8990
11 Cl 0.1484 0.1010 0.5954
12 Cl 0.6484 0.5954 0.1010
13 Ga 0.5262 0.8016 0.1984
14 Ga 0.0262 0.1984 0.8016
15 In 0.4714 0.8909 0.7116
16 In 0.4714 0.2884 0.1091
17 In 0.4570 0.4052 0.5948
18 In 0.9570 0.5948 0.4052
19 In 0.9714 0.1091 0.2884
20 In 0.9714 0.7116 0.8909

Values from the calculation:
ΔE to the lowest computed polymorph, meV/atom: 0.0
ΔE_f (raw), kJ/mol of formula units: -942
Size of the total moment, μB/cell: 0.00
Space group: No. 36